CaV2Ni2P4O18, optimized geometry, DFT PBE+U; space-group type = Pmc2_1 (26); crystal system = orthorhombic; raw total energy = -0.2565 Ha/atom; total magnetization = 7.86 μB/cell
1.0
-1.496 0.582 6.175
-0.819 -7.807 0.538
13.426 -1.176 3.364
Ca V Ni P O
2 4 4 8 36
direct
0.000 0.916 0.215
0.000 0.084 0.715
0.500 0.095 0.884
0.000 0.406 0.117
0.000 0.594 0.617
0.500 0.905 0.384
0.253 0.744 0.998
0.253 0.256 0.498
0.747 0.256 0.498
0.747 0.744 0.998
0.000 0.092 0.945
0.500 0.403 0.057
0.500 0.597 0.557
0.000 0.908 0.445
0.500 0.167 0.699
0.000 0.335 0.307
0.000 0.665 0.807
0.500 0.833 0.199
0.799 0.327 0.364
0.300 0.175 0.638
0.700 0.825 0.138
0.201 0.673 0.864
0.700 0.175 0.638
0.201 0.327 0.364
0.799 0.673 0.864
0.300 0.825 0.138
0.000 0.077 0.501
0.500 0.421 0.510
0.500 0.579 0.010
0.000 0.923 0.001
0.500 0.913 0.950
0.000 0.591 0.053
0.000 0.409 0.553
0.500 0.087 0.450
0.500 0.993 0.759
0.000 0.504 0.240
0.000 0.496 0.740
0.500 0.007 0.259
0.188 0.898 0.373
0.698 0.619 0.619
0.302 0.381 0.119
0.812 0.102 0.873
0.302 0.619 0.619
0.812 0.898 0.373
0.188 0.102 0.873
0.698 0.381 0.119
0.500 0.709 0.286
0.000 0.795 0.720
0.000 0.205 0.220
0.500 0.291 0.786
0.500 0.743 0.481
0.000 0.758 0.514
0.000 0.242 0.014
0.500 0.257 0.981